Material: TaSnPt2W
Method: DFT, PBE
State: optimized geometry

a = 4.748 Å, b = 4.949 Å, c = 4.748 Å
α = 90.00°, β = 90.00°, γ = 90.00°
Element x y z (fractional)
Sn  0.000  0.000  0.000
Ta  0.500  0.500  0.500
Pt  0.000  0.000  0.500
Pt  0.500  0.000  0.000
W  0.000  0.500  0.000

Results
Space-group type: P4/mmm (123)
Size of the total moment, μB/atom: 0.000
Calculated density, g cm⁻³: 13.00
Total energy, eV/atom: -6.4820
Fermi-level density of states, states/eV per cell: 5.00
ΔE_f, eV per atom: 1.696